(1)
DFT (PBE-GGA) results for crystalline Ag4HgF12 at its relaxed geometry.

Summary:
Uncorrected formation energy in eV per atom: -1.13

Lattice parameters (Å, degrees): 7.211 7.211 7.211 108.68 111.77 107.99
Fractional positions:
F  0.290  0.083  0.794
F  0.812  0.727  0.540
Hg  0.000  0.500  0.500
F  0.812  0.273  0.085
F  0.052  0.739  0.312
F  0.290  0.496  0.206
F  0.188  0.273  0.460
Ag  0.000  0.500  0.000
F  0.188  0.727  0.915
F  0.710  0.917  0.206
Ag  0.000  0.000  0.500
Ag  0.500  0.500  0.500
Ag  0.500  0.000  0.000
F  0.710  0.504  0.794
F  0.948  0.261  0.688
F  0.573  0.261  0.312
F  0.427  0.739  0.688


(2)
DFT (PBE-GGA) results for crystalline CaTa3Cr at its relaxed geometry.

Summary:
Distance to the lowest polymorph of the same formula in kJ/mol of atoms: 0.0
Energy relative to the elements in eV per atom: 0.86

Lattice parameters (Å, degrees): 4.748 4.748 4.748 90.00 90.00 90.00
Fractional positions:
Ta  0.500  0.000  0.000
Cr  0.000  0.000  0.000
Ca  0.500  0.500  0.500
Ta  0.000  0.500  0.000
Ta  0.000  0.000  0.500


(3)
DFT (PBE-GGA) results for crystalline Re2RuPb at its relaxed geometry.

Summary:
Energy relative to the elements in eV per atom: 0.81

Lattice parameters (Å, degrees): 4.846 4.846 4.846 129.48 129.48 74.24
Site moments in Bohr magnetons follow the coordinates.
Fractional positions:
Pb  0.750  0.250  0.500  0.01
Re  0.000  0.000  0.000  0.04
Ru  0.500  0.500  0.000  0.16
Re  0.250  0.750  0.500  0.58


(4)
DFT (PBE-GGA) results for crystalline KAcTe at its relaxed geometry.

Summary:
Uncorrected formation energy in eV per atom: -0.55
Distance to the lowest polymorph of the same formula in kJ/mol of atoms: 25.8

Lattice parameters (Å, degrees): 5.174 5.645 5.645 120.00 90.00 90.00
Fractional positions:
K  0.668  0.667  0.333
Te  0.164  0.000  0.000
Ac  0.167  0.333  0.667